Entry 1:
# Ac3La7Nd

Ac3La7Nd after structural relaxation (PBE, the Alexandria database).

Calculated values
The value obtained for the energy is -49.272 eV for the cell shown. The value obtained for the theoretical density is 6.8 g/cm³. As for the energy of formation: 0.210 eV/atom. The total magnetization comes out at 0.17 μB per formula unit.

Lattice parameters (Å, degrees): 6.1117 9.0130 9.0130 82.69 109.61 109.61
Last column: nearest neighbours and their distance in Å.
Sites, in units of the cell vectors:
Nd 0.5000 0.5000 0.5000  2 La 3.06
La 0.2144 0.2165 0.2165  1 Nd 3.43, 2 Ac 3.62, 2 La 3.62
La 0.2967 0.5896 0.0038  3 La 3.41-3.62, 2 Ac 3.48-3.73
La 0.0000 0.5000 0.5000  2 Nd 3.06
La 0.7033 0.9962 0.4104  3 La 3.41-3.62, 2 Ac 3.48-3.73
La 0.7033 0.4104 0.9962  3 La 3.41-3.62, 2 Ac 3.48-3.73
La 0.2967 0.0038 0.5896  3 La 3.41-3.62, 2 Ac 3.48-3.73
La 0.7856 0.7835 0.7835  1 Nd 3.43, 2 Ac 3.62, 2 La 3.62
Ac 0.0000 0.2096 0.7904  5 La 3.46-3.73
Ac 0.0000 0.7904 0.2096  5 La 3.46-3.73
Ac 0.5000 0.0000 0.0000  4 La 3.48


Entry 2:
# AcLa5Nd2

AcLa5Nd2 after structural relaxation (PBE, the Alexandria database).

Calculated values
The value obtained for the energy is -74.984 eV for the cell shown. The value obtained for the theoretical density is 6.7 g/cm³. As for the energy of formation: 0.099 eV/atom. The total magnetization comes out at 0.01 μB per formula unit.

Lattice parameters (Å, degrees): 9.1139 9.1139 9.7020 118.01 118.01 90.00
Last column: nearest neighbours and their distance in Å.
Sites, in units of the cell vectors:
La 0.8123 0.0125 0.3248  3 Nd 3.53-3.58, 4 La 3.62-3.86, 2 Ac 3.70
La 0.4875 0.6877 0.6752  3 Nd 3.53-3.58, 4 La 3.62-3.86, 2 Ac 3.70
La 0.5125 0.3123 0.3248  3 Nd 3.53-3.58, 4 La 3.62-3.86, 2 Ac 3.70
La 0.9875 0.4875 0.6752  3 Nd 3.53-3.58, 4 La 3.62-3.86, 2 Ac 3.70
La 0.6877 0.1877 0.6752  3 Nd 3.53-3.58, 4 La 3.62-3.86, 2 Ac 3.70
La 0.3123 0.8123 0.3248  3 Nd 3.53-3.58, 4 La 3.62-3.86, 2 Ac 3.70
La 0.0125 0.5125 0.3248  3 Nd 3.53-3.58, 4 La 3.62-3.86, 2 Ac 3.70
La 0.0000 0.0000 0.0000  4 Nd 3.49, 2 Ac 3.63
La 0.5000 0.5000 0.0000  4 Nd 3.49, 2 Ac 3.63
La 0.1877 0.9875 0.6752  3 Nd 3.53-3.58, 4 La 3.62-3.86, 2 Ac 3.70
Nd 0.8539 0.6461 0.0000  8 La 3.49-3.58, 1 Nd 3.76
Nd 0.3539 0.8539 0.0000  8 La 3.49-3.58, 1 Nd 3.76
Nd 0.1461 0.3539 0.0000  8 La 3.49-3.58, 1 Nd 3.76
Nd 0.6461 0.1461 0.0000  8 La 3.49-3.58, 1 Nd 3.76
Ac 0.2500 0.2500 0.5000  10 La 3.63-3.70
Ac 0.7500 0.7500 0.5000  10 La 3.63-3.70


Entry 3:
# Ac5La2Nd5

Ac5La2Nd5 after structural relaxation (PBE, the Alexandria database).

Calculated values
The value obtained for the energy is -53.154 eV for the cell shown. The value obtained for the theoretical density is 7.4 g/cm³. As for the energy of formation: 0.090 eV/atom. The total magnetization comes out at 0.01 μB per formula unit.

Lattice parameters (Å, degrees): 6.1885 9.9343 9.2972 64.23 70.56 71.85
Last column: nearest neighbours and their distance in Å.
Sites, in units of the cell vectors:
La 0.9115 0.4226 0.7545  5 Nd 3.73-4.00, 6 Ac 3.77-4.09, 1 La 4.15
La 0.0885 0.5774 0.2455  5 Nd 3.73-4.00, 6 Ac 3.77-4.09, 1 La 4.15
Nd 0.6494 0.7246 0.9765  2 Nd 3.39-3.66, 3 Ac 3.61-3.76
Nd 0.4265 0.8689 0.2780  3 Nd 3.30-3.66, 2 Ac 3.65
Nd 0.3506 0.2754 0.0235  2 Nd 3.39-3.66, 3 Ac 3.61-3.76
Nd 0.5000 0.5000 0.5000  2 Nd 3.30, 2 Ac 3.56
Nd 0.5735 0.1311 0.7220  3 Nd 3.30-3.66, 2 Ac 3.65
Ac 0.8198 0.8587 0.5017  4 Nd 3.65-3.88, 5 Ac 3.88-4.08, 2 La 3.89-4.06
Ac 0.2629 0.6967 0.7775  4 Nd 3.56-3.76, 1 La 3.83, 2 Ac 3.88
Ac 0.1802 0.1413 0.4983  4 Nd 3.65-3.88, 5 Ac 3.88-4.08, 2 La 3.89-4.06
Ac 0.7371 0.3033 0.2225  4 Nd 3.56-3.76, 1 La 3.83, 2 Ac 3.88
Ac 0.0000 0.0000 0.0000  2 La 3.77, 8 Nd 3.85-4.10, 4 Ac 4.02-4.10


Entry 4:
# Ac7La2Nd3

Ac7La2Nd3 after structural relaxation (PBE, the Alexandria database).

Calculated values
The value obtained for the energy is -51.874 eV for the cell shown. The value obtained for the theoretical density is 7.7 g/cm³. As for the energy of formation: 0.087 eV/atom. The total magnetization comes out at 0.00 μB per formula unit.

Lattice parameters (Å, degrees): 3.8092 7.0166 19.2949 74.76 90.00 90.00
Last column: nearest neighbours and their distance in Å.
Sites, in units of the cell vectors:
Nd 0.0000 0.1183 0.3416  2 Nd 3.81, 7 Ac 3.84-3.98, 4 La 3.88-4.11
Nd 0.0000 0.8817 0.6584  2 Nd 3.81, 7 Ac 3.84-3.98, 4 La 3.88-4.11
Nd 0.5000 0.5000 0.0000  2 Nd 3.81, 10 Ac 3.85-3.99
Ac 0.0000 0.5533 0.1674  2 La 3.80, 7 Ac 3.81-4.04, 3 Nd 3.85-3.90
Ac 0.5000 0.2408 0.5059  4 Ac 3.45-3.81, 2 La 3.57-3.66, 2 Nd 3.84
Ac 0.5000 0.7592 0.4941  4 Ac 3.45-3.81, 2 La 3.57-3.66, 2 Nd 3.84
Ac 0.0000 0.0000 0.0000  8 Ac 3.81-3.97, 4 Nd 3.99
Ac 0.0000 0.4467 0.8326  2 La 3.80, 7 Ac 3.81-4.04, 3 Nd 3.85-3.90
Ac 0.5000 0.9445 0.8258  1 La 3.75, 8 Ac 3.81-4.04, 3 Nd 3.87-3.94
Ac 0.5000 0.0555 0.1742  1 La 3.75, 8 Ac 3.81-4.04, 3 Nd 3.87-3.94
La 0.5000 0.3926 0.6685  5 Ac 3.57-3.80, 2 La 3.81, 2 Nd 3.88
La 0.5000 0.6074 0.3315  5 Ac 3.57-3.80, 2 La 3.81, 2 Nd 3.88


Entry 5:
# AcLa10Nd4

AcLa10Nd4 after structural relaxation (PBE, the Alexandria database).

Calculated values
The value obtained for the energy is -66.386 eV for the cell shown. The value obtained for the theoretical density is 6.2 g/cm³. As for the energy of formation: 0.405 eV/atom. The total magnetization comes out at 0.00 μB per formula unit.

Lattice parameters (Å, degrees): 7.0833 9.7782 9.7782 82.46 68.76 68.76
Last column: nearest neighbours and their distance in Å.
Sites, in units of the cell vectors:
La 0.1177 0.4225 0.8336  3 La 3.12-3.48, 2 Nd 3.46-3.49
La 0.0487 0.8336 0.5775  3 La 3.12-3.48, 2 Nd 3.46-3.49
La 0.2500 0.5000 0.5000  4 La 3.12
La 0.7500 0.5000 0.5000  4 La 3.12
La 0.8823 0.5775 0.1664  3 La 3.12-3.48, 2 Nd 3.46-3.49
La 0.9513 0.1664 0.4225  3 La 3.12-3.48, 2 Nd 3.46-3.49
La 0.6262 0.4225 0.8336  3 La 3.12-3.48, 2 Nd 3.46-3.49
La 0.4598 0.1664 0.4225  3 La 3.12-3.48, 2 Nd 3.46-3.49
La 0.5402 0.8336 0.5775  3 La 3.12-3.48, 2 Nd 3.46-3.49
La 0.3738 0.5775 0.1664  3 La 3.12-3.48, 2 Nd 3.46-3.49
Nd 0.6746 0.7578 0.8930  2 Nd 3.41, 6 La 3.46-3.56
Nd 0.5676 0.1070 0.7578  2 Nd 3.41, 6 La 3.46-3.56
Nd 0.4324 0.8930 0.2422  2 Nd 3.41, 6 La 3.46-3.56
Nd 0.3254 0.2422 0.1070  2 Nd 3.41, 6 La 3.46-3.56
Ac 0.0000 0.0000 0.0000  8 Nd 4.29, 8 La 4.49


Entry 6:
# Ac10LaNd4

Ac10LaNd4 after structural relaxation (PBE, the Alexandria database).

Calculated values
The value obtained for the energy is -57.671 eV for the cell shown. The value obtained for the theoretical density is 7.0 g/cm³. As for the energy of formation: 0.494 eV/atom. The total magnetization comes out at 0.00 μB per formula unit.

Lattice parameters (Å, degrees): 9.5883 9.8210 9.8210 76.21 60.78 60.78
Last column: nearest neighbours and their distance in Å.
Sites, in units of the cell vectors:
Nd 0.7226 0.7130 0.8418  6 Ac 3.67-3.78, 2 Nd 3.97
Nd 0.2774 0.2870 0.1582  6 Ac 3.67-3.78, 2 Nd 3.97
Nd 0.4356 0.8418 0.2870  6 Ac 3.67-3.78, 2 Nd 3.97
Nd 0.5644 0.1582 0.7130  6 Ac 3.67-3.78, 2 Nd 3.97
Ac 0.0270 0.8962 0.6692  1 La 3.49, 3 Ac 3.59-3.74, 3 Nd 3.67-3.78
Ac 0.9730 0.1038 0.3308  1 La 3.49, 3 Ac 3.59-3.74, 3 Nd 3.67-3.78
Ac 0.2500 0.5000 0.5000  4 Ac 3.74
Ac 0.0768 0.3308 0.8962  1 La 3.49, 3 Ac 3.59-3.74, 3 Nd 3.67-3.78
Ac 0.4076 0.8962 0.6692  1 La 3.49, 3 Ac 3.59-3.74, 3 Nd 3.67-3.78
Ac 0.7500 0.5000 0.5000  4 Ac 3.74
Ac 0.9232 0.6692 0.1038  1 La 3.49, 3 Ac 3.59-3.74, 3 Nd 3.67-3.78
Ac 0.6962 0.3308 0.8962  1 La 3.49, 3 Ac 3.59-3.74, 3 Nd 3.67-3.78
Ac 0.3038 0.6692 0.1038  1 La 3.49, 3 Ac 3.59-3.74, 3 Nd 3.67-3.78
Ac 0.5924 0.1038 0.3308  1 La 3.49, 3 Ac 3.59-3.74, 3 Nd 3.67-3.78
La 0.0000 0.0000 0.0000  8 Ac 3.49